! PBE LaErRh, optimized geometry; values from VASP
! Space group: P-1
! Magnetic moment in μB/f.u.: 0.0
! Energy above the lowest structure with this stoichiometry in meV/atom: 0
! E_form in eV per atom: -0.620
&SYSTEM
  ibrav = 0, nat = 6, ntyp = 3
/
ATOMIC_SPECIES
La 138.91 La.upf
Er 167.26 Er.upf
Rh 102.91 Rh.upf
ATOMIC_POSITIONS crystal
La 0.242 0.250 0.392
La 0.758 0.750 0.608
Er 0.262 0.749 0.005
Er 0.738 0.251 0.995
Rh 0.181 0.249 0.774
Rh 0.819 0.751 0.226
CELL_PARAMETERS angstrom
4.774 0.000 0.000
0.000 4.869 0.000
-0.826 -0.008 6.879

! PBE K2HoIrO4, optimized geometry; values from VASP
! Space group: P2/m
! Magnetic moment in μB/f.u.: 0.0
! E_form (uncorrected) in eV/atom: -1.791
&SYSTEM
  ibrav = 0, nat = 8, ntyp = 4
/
ATOMIC_SPECIES
K 39.10 K.upf
Ho 164.93 Ho.upf
Ir 192.22 Ir.upf
O 16.00 O.upf
ATOMIC_POSITIONS crystal
K 0.000 0.000 0.000
K 0.500 0.500 0.000
Ho 0.000 0.500 0.500
Ir 0.500 0.000 0.500
O 0.240 0.000 0.693
O 0.297 0.500 0.322
O 0.703 0.500 0.678
O 0.760 0.000 0.307
CELL_PARAMETERS angstrom
5.515 0.000 0.000
0.000 3.400 0.000
-2.041 0.000 6.173

! PBE Ce2AuC, optimized geometry; values from VASP
! Space group: R3m
! Magnetic moment in μB/f.u.: 1.3
! Energy above the lowest structure with this stoichiometry in meV/atom: 0
! E_form in eV per atom: -0.354
&SYSTEM
  ibrav = 0, nat = 12, ntyp = 3
/
ATOMIC_SPECIES
Ce 140.12 Ce.upf
Au 196.97 Au.upf
C 12.01 C.upf
ATOMIC_POSITIONS crystal
Ce 0.000 0.000 0.000
Ce 0.000 0.000 0.208
Ce 0.333 0.667 0.667
Ce 0.333 0.667 0.874
Ce 0.667 0.333 0.333
Ce 0.667 0.333 0.541
Au 0.000 0.000 0.771
Au 0.333 0.667 0.437
Au 0.667 0.333 0.104
C 0.000 0.000 0.604
C 0.333 0.667 0.270
C 0.667 0.333 0.937
CELL_PARAMETERS angstrom
3.612 0.000 0.000
-1.806 3.128 0.000
0.000 0.000 22.900

! PBE Cs2BiPb2, optimized geometry; values from VASP
! Space group: P4/mbm
! Magnetic moment in μB/f.u.: 0.0
! Energy above the lowest structure with this stoichiometry in meV/atom: 227
! E_form in eV per atom: 0.106
&SYSTEM
  ibrav = 0, nat = 10, ntyp = 3
/
ATOMIC_SPECIES
Cs 132.91 Cs.upf
Bi 208.98 Bi.upf
Pb 207.20 Pb.upf
ATOMIC_POSITIONS crystal
Cs 0.206 0.294 0.000
Cs 0.294 0.794 0.000
Cs 0.706 0.206 0.000
Cs 0.794 0.706 0.000
Bi 0.000 0.000 0.500
Bi 0.500 0.500 0.500
Pb 0.092 0.592 0.500
Pb 0.408 0.092 0.500
Pb 0.592 0.908 0.500
Pb 0.908 0.408 0.500
CELL_PARAMETERS angstrom
11.372 0.000 0.000
0.000 11.372 0.000
0.000 0.000 3.562

! PBE KSr2MgIr, optimized geometry; values from VASP
! Space group: P4/mmm
! Magnetic moment in μB/f.u.: 0.0
! E_form in eV per atom: -0.061
&SYSTEM
  ibrav = 0, nat = 5, ntyp = 4
/
ATOMIC_SPECIES
K 39.10 K.upf
Sr 87.62 Sr.upf
Mg 24.30 Mg.upf
Ir 192.22 Ir.upf
ATOMIC_POSITIONS crystal
K 0.000 0.000 0.000
Sr 0.000 0.500 0.500
Sr 0.500 0.000 0.500
Mg 0.500 0.500 0.000
Ir 0.500 0.500 0.500
CELL_PARAMETERS angstrom
5.913 0.000 0.000
0.000 5.913 0.000
0.000 0.000 5.375

! PBE Tb2Tl2IO6, optimized geometry; values from VASP
! Space group: C2/m
! Magnetic moment in μB/f.u.: 0.9
! E_form (uncorrected) in eV/atom: -1.648
&SYSTEM
  ibrav = 0, nat = 11, ntyp = 4
/
ATOMIC_SPECIES
Tb 158.93 Tb.upf
Tl 204.38 Tl.upf
I 126.90 I.upf
O 16.00 O.upf
ATOMIC_POSITIONS crystal
Tb 0.167 0.833 0.000
Tb 0.833 0.167 0.000
Tl 0.335 0.665 0.500
Tl 0.665 0.335 0.500
I 0.500 0.500 0.000
O 0.105 0.457 0.827
O 0.235 0.235 0.150
O 0.457 0.105 0.827
O 0.543 0.895 0.173
O 0.765 0.765 0.850
O 0.895 0.543 0.173
CELL_PARAMETERS angstrom
3.024 -5.402 0.000
3.024 5.402 0.000
-1.897 0.000 6.501